A | Computed, not measured: a relaxed CsNiP2S crystal at the PBE level of DFT.

Calculated values
N(E_F) ... 3.4 states/eV/f.u.
Spin magnetization ... 0.552 Bohr magnetons per cell

Cell lengths 4.548, 4.548, 5.295 Å; angles 90.00, 90.00, 90.00 degrees
Space group P4/mmm (No. 123)
Unique sites:
Cs  0.000  0.000  0.000 [1 per cell]
Ni  0.500  0.500  0.500 [1 per cell]
P  0.000  0.500  0.500 [2 per cell]
S  0.500  0.500  0.000 [1 per cell]

B | Computed, not measured: a relaxed CsNiP2S crystal at the PBE level of DFT.

Calculated values
N(E_F) ... 10.5 states/eV/f.u.
Spin magnetization ... 3.460 Bohr magnetons per cell

Cell lengths 5.636, 5.636, 5.334 Å; angles 90.00, 90.00, 90.00 degrees
Space group P4/mmm (No. 123)
Unique sites:
Cs  0.000  0.000  0.000 [1 per cell]
Ni  0.500  0.500  0.500 [1 per cell]
P  0.000  0.500  0.000 [2 per cell]
S  0.000  0.000  0.500 [1 per cell]

Stability check: which of them is most stable? A.

A | Computed, not measured: a relaxed CsNiPS2 crystal at the PBE level of DFT.

Calculated values
N(E_F) ... 5.8 states/eV/f.u.
Spin magnetization ... 0.006 Bohr magnetons per cell

Cell lengths 5.062, 5.062, 4.295 Å; angles 90.00, 90.00, 90.00 degrees
Space group P4/mmm (No. 123)
Unique sites:
Cs  0.000  0.000  0.000 [1 per cell]
Ni  0.500  0.500  0.500 [1 per cell]
P  0.500  0.500  0.000 [1 per cell]
S  0.000  0.500  0.500 [2 per cell]

B | Computed, not measured: a relaxed CsNiPS2 crystal at the PBE level of DFT.

Calculated values
N(E_F) ... 13.2 states/eV/f.u.
Spin magnetization ... 2.959 Bohr magnetons per cell

Cell lengths 5.415, 5.415, 5.793 Å; angles 90.00, 90.00, 90.00 degrees
Space group P4/mmm (No. 123)
Unique sites:
Cs  0.000  0.000  0.000 [1 per cell]
Ni  0.500  0.500  0.500 [1 per cell]
P  0.000  0.000  0.500 [1 per cell]
S  0.000  0.500  0.000 [2 per cell]

Stability check: which of them is most stable? A.

A | Computed, not measured: a relaxed CsNiPb3 crystal at the PBE level of DFT.

Calculated values
N(E_F) ... 5.0 states/eV/f.u.
Spin magnetization ... 0.000 Bohr magnetons per cell

Cell lengths 5.426, 5.426, 5.426 Å; angles 90.00, 90.00, 90.00 degrees
Space group Pm-3m (No. 221)
Unique sites:
Cs  0.000  0.000  0.000 [1 per cell]
Ni  0.500  0.500  0.500 [1 per cell]
Pb  0.000  0.500  0.500 [3 per cell]

B | Computed, not measured: a relaxed CsNiPb3 crystal at the PBE level of DFT.

Calculated values
N(E_F) ... 11.7 states/eV/f.u.
Spin magnetization ... 0.001 Bohr magnetons per cell

Cell lengths 6.306, 6.306, 6.306 Å; angles 90.00, 90.00, 90.00 degrees
Space group Pm-3m (No. 221)
Unique sites:
Cs  0.000  0.000  0.000 [1 per cell]
Ni  0.500  0.500  0.500 [1 per cell]
Pb  0.000  0.000  0.500 [3 per cell]

Stability check: which of them is most stable? A.

A | Computed, not measured: a relaxed CsNi2Pb2 crystal at the PBE level of DFT.

Calculated values
N(E_F) ... 3.8 states/eV/f.u.
Spin magnetization ... 0.000 Bohr magnetons per cell

Cell lengths 3.775, 3.775, 18.803 Å; angles 90.00, 90.00, 90.00 degrees
Space group I4/mmm (No. 139)
Unique sites:
Cs  0.000  0.000  0.000 [2 per cell]
Ni  0.000  0.500  0.250 [4 per cell]
Pb  0.000  0.000  0.349 [4 per cell]

B | Computed, not measured: a relaxed CsNi2Pb2 crystal at the PBE level of DFT.

Calculated values
N(E_F) ... 4.2 states/eV/f.u.
Spin magnetization ... 0.000 Bohr magnetons per cell

Cell lengths 8.843, 8.843, 3.439 Å; angles 90.00, 90.00, 90.00 degrees
Space group P4/mbm (No. 127)
Unique sites:
Cs  0.000  0.000  0.000 [2 per cell]
Ni  0.104  0.396  0.000 [4 per cell]
Pb  0.137  0.637  0.500 [4 per cell]

Stability check: which of them is most stable? A.

A | Computed, not measured: a relaxed CsNiPd3 crystal at the PBE level of DFT.

Calculated values
N(E_F) ... 15.4 states/eV/f.u.
Spin magnetization ... 0.013 Bohr magnetons per cell

Cell lengths 5.227, 5.227, 5.227 Å; angles 90.00, 90.00, 90.00 degrees
Space group Pm-3m (No. 221)
Unique sites:
Cs  0.000  0.000  0.000 [1 per cell]
Ni  0.500  0.500  0.500 [1 per cell]
Pd  0.000  0.000  0.500 [3 per cell]

B | Computed, not measured: a relaxed CsNiPd3 crystal at the PBE level of DFT.

Calculated values
N(E_F) ... 7.5 states/eV/f.u.
Spin magnetization ... 1.116 Bohr magnetons per cell

Cell lengths 4.835, 4.835, 4.835 Å; angles 90.00, 90.00, 90.00 degrees
Space group Pm-3m (No. 221)
Unique sites:
Cs  0.000  0.000  0.000 [1 per cell]
Ni  0.500  0.500  0.500 [1 per cell]
Pd  0.000  0.500  0.500 [3 per cell]

Stability check: which of them is most stable? B.

A | Computed, not measured: a relaxed CsNi3Pd crystal at the PBE level of DFT.

Calculated values
N(E_F) ... 2.7 states/eV/f.u.
Spin magnetization ... 0.000 Bohr magnetons per cell

Cell lengths 4.709, 4.709, 4.709 Å; angles 90.00, 90.00, 90.00 degrees
Space group Pm-3m (No. 221)
Unique sites:
Cs  0.000  0.000  0.000 [1 per cell]
Ni  0.000  0.000  0.500 [3 per cell]
Pd  0.500  0.500  0.500 [1 per cell]

B | Computed, not measured: a relaxed CsNi3Pd crystal at the PBE level of DFT.

Calculated values
N(E_F) ... 14.6 states/eV/f.u.
Spin magnetization ... 2.412 Bohr magnetons per cell

Cell lengths 4.817, 4.817, 4.817 Å; angles 90.00, 90.00, 90.00 degrees
Space group Pm-3m (No. 221)
Unique sites:
Cs  0.000  0.000  0.000 [1 per cell]
Ni  0.000  0.500  0.500 [3 per cell]
Pd  0.500  0.500  0.500 [1 per cell]

Stability check: which of them is most stable? B.

A | Computed, not measured: a relaxed Cs2NiPd crystal at the PBE level of DFT.

Calculated values
N(E_F) ... 1.8 states/eV/f.u.
Spin magnetization ... 0.001 Bohr magnetons per cell

Cell lengths 7.939, 7.939, 7.939 Å; angles 90.00, 90.00, 90.00 degrees
Space group Fm-3m (No. 225)
Unique sites:
Cs  0.250  0.250  0.250 [8 per cell]
Ni  0.000  0.000  0.000 [4 per cell]
Pd  0.000  0.000  0.500 [4 per cell]

B | Computed, not measured: a relaxed Cs2NiPd crystal at the PBE level of DFT.

Calculated values
N(E_F) ... 6.8 states/eV/f.u.
Spin magnetization ... 2.877 Bohr magnetons per cell

Cell lengths 12.684, 12.684, 4.817 Å; angles 90.00, 90.00, 90.00 degrees
Space group I-42d (No. 122)
Unique sites:
Cs  0.069  0.250  0.125 [8 per cell]
Ni  0.000  0.000  0.500 [4 per cell]
Pd  0.000  0.000  0.000 [4 per cell]

Stability check: which of them is most stable? B.

A | Computed, not measured: a relaxed CsRbNi3 crystal at the PBE level of DFT.

Calculated values
N(E_F) ... 1.1 states/eV/f.u.
Spin magnetization ... 0.000 Bohr magnetons per cell

Cell lengths 5.157, 5.157, 5.157 Å; angles 90.00, 90.00, 90.00 degrees
Space group Pm-3m (No. 221)
Unique sites:
Cs  0.000  0.000  0.000 [1 per cell]
Rb  0.500  0.500  0.500 [1 per cell]
Ni  0.000  0.000  0.500 [3 per cell]

B | Computed, not measured: a relaxed CsRbNi3 crystal at the PBE level of DFT.

Calculated values
N(E_F) ... 4.7 states/eV/f.u.
Spin magnetization ... 0.000 Bohr magnetons per cell

Cell lengths 5.238, 5.238, 5.238 Å; angles 90.00, 90.00, 90.00 degrees
Space group Pm-3m (No. 221)
Unique sites:
Cs  0.000  0.000  0.000 [1 per cell]
Rb  0.500  0.500  0.500 [1 per cell]
Ni  0.000  0.500  0.500 [3 per cell]

Stability check: which of them is most stable? A.